Record 1
Entry from the Alexandria database: a relaxed structure of Mg2Sc4Tc (GGA-PBE).

Computed properties:
ρ, Mg/m³: 3.3
Space group: C2/m
Spin magnetization, μB/atom: 0.00
Total energy, eV per atom: -5.561

```
Mg2Sc4Tc
1.0
8.342 -1.653 0.000
8.342 1.653 0.000
-0.754 0.000 5.920
Mg Sc Tc
2 4 1
Direct
0.244 0.244 0.274 Mg
0.756 0.756 0.726 Mg
0.104 0.104 0.861 Sc
0.419 0.419 0.625 Sc
0.581 0.581 0.375 Sc
0.896 0.896 0.139 Sc
0.500 0.500 0.000 Tc
```



Record 2
Entry from the Alexandria database: a relaxed structure of TaCrFe2 (GGA-PBE).

Computed properties:
ρ, Mg/m³: 11.0
Space group: F-43m
Spin magnetization, μB/atom: 0.72
Total energy, eV per atom: -9.530

```
TaCrFe2
1.0
0.000 2.961 2.961
2.961 0.000 2.961
2.961 2.961 0.000
Ta Cr Fe
1 1 2
Direct
0.000 0.000 0.000 Ta
0.750 0.750 0.750 Cr
0.250 0.250 0.250 Fe
0.500 0.500 0.500 Fe
```